Compound: CeLuNiAu
Source: the Alexandria database
Functional: PBE
Structure: relaxed

Cell: 4.973 4.973 4.973 Å, 60.00 60.00 60.00°
Last column: magnetic moment on the atom in μB.
Element x y z (fractional)
Ni: 0.250 0.250 0.250  -0.04
Lu: 0.500 0.500 0.500  0.03
Au: 0.750 0.750 0.750  0.01
Ce: 0.000 0.000 0.000  0.58

Summary:
- total energy (eV per atom) = -5.368
- magnetic moment (μB per cell) = 0.665
- DOS at the Fermi energy (states/eV/f.u.) = 6.0
- formation energy (meV/atom) = -490



Compound: CeLuPbAu
Source: the Alexandria database
Functional: PBE
Structure: relaxed

Cell: 5.302 5.302 5.302 Å, 60.00 60.00 60.00°
Last column: magnetic moment on the atom in μB.
Element x y z (fractional)
Pb: 0.500 0.500 0.500  -0.01
Lu: 0.750 0.750 0.750  0.22
Au: 0.000 0.000 0.000  0.04
Ce: 0.250 0.250 0.250  1.00

Summary:
- total energy (eV per atom) = -4.857
- magnetic moment (μB per cell) = 1.699
- DOS at the Fermi energy (states/eV/f.u.) = 10.2
- formation energy (meV/atom) = -496



Compound: CeLuRuAu
Source: the Alexandria database
Functional: PBE
Structure: relaxed

Cell: 4.963 4.963 4.963 Å, 60.00 60.00 60.00°
Last column: magnetic moment on the atom in μB.
Element x y z (fractional)
Ru: 0.250 0.250 0.250  0.04
Lu: 0.500 0.500 0.500  -0.02
Au: 0.750 0.750 0.750  -0.01
Ce: 0.000 0.000 0.000  -0.39

Summary:
- total energy (eV per atom) = -6.256
- magnetic moment (μB per cell) = 0.446
- DOS at the Fermi energy (states/eV/f.u.) = 6.5
- formation energy (meV/atom) = -504



Compound: CeLuSnAu
Source: the Alexandria database
Functional: PBE
Structure: relaxed

Cell: 5.254 5.254 5.254 Å, 60.00 60.00 60.00°
Last column: magnetic moment on the atom in μB.
Element x y z (fractional)
Lu: 0.500 0.500 0.500  0.20
Au: 0.750 0.750 0.750  0.04
Sn: 0.250 0.250 0.250  -0.01
Ce: 0.000 0.000 0.000  0.95

Summary:
- total energy (eV per atom) = -5.045
- magnetic moment (μB per cell) = 1.575
- DOS at the Fermi energy (states/eV/f.u.) = 9.8
- formation energy (meV/atom) = -611



Compound: CeMg5Au2
Source: the Alexandria database
Functional: PBE
Structure: relaxed

Cell: 4.299 6.939 6.939 Å, 73.68 71.95 71.95°
Last column: magnetic moment on the atom in μB.
Element x y z (fractional)
Ce: 0.000 0.000 0.000  0.91
Mg: 0.000 0.500 0.500  0.00
Mg: 0.657 0.529 0.158  0.00
Mg: 0.343 0.471 0.842  0.00
Mg: 0.343 0.842 0.471  0.00
Mg: 0.657 0.158 0.529  0.00
Au: 0.731 0.769 0.769  0.01
Au: 0.269 0.231 0.231  0.01

Summary:
- total energy (eV per atom) = -2.954
- magnetic moment (μB per cell) = 1.161
- DOS at the Fermi energy (states/eV/f.u.) = 11.2
- formation energy (meV/atom) = -396



Compound: CeMgAu
Source: the Alexandria database
Functional: PBE
Structure: relaxed

Cell: 3.467 4.849 4.849 Å, 120.00 90.00 90.00°
Last column: magnetic moment on the atom in μB.
Element x y z (fractional)
Mg: 0.167 0.000 0.000  0.01
Au: 0.167 0.333 0.667  0.01
Ce: 0.667 0.667 0.333  0.80

Summary:
- total energy (eV per atom) = -4.029
- magnetic moment (μB per cell) = 1.076
- DOS at the Fermi energy (states/eV/f.u.) = 6.5
- formation energy (meV/atom) = -427



Compound: CeMg5Au6
Source: the Alexandria database
Functional: PBE
Structure: relaxed

Cell: 4.796 6.829 7.600 Å, 90.00 108.58 90.00°
Last column: magnetic moment on the atom in μB.
Element x y z (fractional)
Mg: 0.660 0.500 0.325  0.00
Mg: 0.328 0.000 0.655  0.00
Mg: 0.000 0.500 0.000  0.00
Mg: 0.672 0.000 0.345  0.00
Mg: 0.340 0.500 0.675  0.00
Au: 0.829 0.735 0.653  0.00
Au: 0.829 0.265 0.653  0.00
Au: 0.500 0.272 0.000  0.01
Au: 0.500 0.728 0.000  0.01
Au: 0.171 0.735 0.347  0.00
Au: 0.171 0.265 0.347  0.00
Ce: 0.000 0.000 0.000  0.74

Summary:
- total energy (eV per atom) = -3.377
- magnetic moment (μB per cell) = 0.909
- DOS at the Fermi energy (states/eV/f.u.) = 9.8
- formation energy (meV/atom) = -580



Compound: CeMgAu
Source: the Alexandria database
Functional: PBE
Structure: relaxed

Cell: 7.733 7.733 4.176 Å, 90.00 90.00 120.00°
Last column: magnetic moment on the atom in μB.
Element x y z (fractional)
Ce: 0.000 0.585 0.000  0.63
Ce: 0.415 0.415 0.000  0.63
Ce: 0.585 0.000 0.000  0.63
Mg: 0.000 0.243 0.500  0.00
Mg: 0.243 0.000 0.500  0.00
Mg: 0.757 0.757 0.500  0.00
Au: 0.333 0.667 0.500  0.00
Au: 0.000 0.000 0.000  0.00
Au: 0.667 0.333 0.500  0.00

Summary:
- total energy (eV per atom) = -4.153
- magnetic moment (μB per cell) = 2.181
- DOS at the Fermi energy (states/eV/f.u.) = 6.5
- formation energy (meV/atom) = -551